[1]
Material: NbTcNi2C
Method: DFT, PBE-GGA
State: optimized geometry

```
NbTcNi2C
1.0
3.8753 0.0000 0.0000
0.0000 3.8753 0.0000
0.0000 0.0000 4.0729
Nb Tc Ni C
1 1 2 1
Direct
0.0000 0.0000 0.0000
0.5000 0.5000 0.0000
0.0000 0.5000 0.5000
0.5000 0.0000 0.5000
0.5000 0.5000 0.5000
```

Energy of formation: 0.095 eV/atom
VASP energy: -40.75 eV/cell
Magnetic moment: 0.0 μB per formula unit



[2]
Material: Ti8Sb2Te3
Method: DFT, PBE-GGA
State: optimized geometry

```
Ti8Sb2Te3
1.0
6.9400 -3.9543 0.0000
6.9400 3.9543 0.0000
-2.1124 0.0000 5.4848
Ti Sb Te
8 2 3
Direct
0.0150 0.6668 0.0496
0.1265 0.1265 0.4546
0.3172 0.3172 0.3027
0.3332 0.9850 0.9504
0.6668 0.0150 0.0496
0.6828 0.6828 0.6973
0.8735 0.8735 0.5454
0.9850 0.3332 0.9504
0.3149 0.3149 0.8174
0.6851 0.6851 0.1826
0.0000 0.0000 0.0000
0.2739 0.7261 0.5000
0.7261 0.2739 0.5000
```

VASP energy: -83.17 eV/cell
E_form (uncorrected): -0.18 eV per atom
Magnetic moment: 0.0 μB per formula unit



[3]
Material: SrAg2Os
Method: DFT, PBE-GGA
State: optimized geometry

```
SrAg2Os
1.0
5.2051 -1.4345 0.0000
5.2051 1.4345 0.0000
-0.9411 0.0000 5.4829
Sr Ag Os
1 2 1
Direct
0.0000 0.0000 0.0000
0.2316 0.2316 0.7127
0.7684 0.7684 0.2873
0.5000 0.5000 0.5000
```

Energy of formation: 0.606 eV/atom
VASP energy: -16.19 eV/cell
Magnetic moment: 0.0 μB per formula unit
Energy above the most stable polymorph in this dataset: 2 kJ/mol of formula units



[4]
Material: Ho3AlSi2
Method: DFT, PBE-GGA
State: optimized geometry

```
Ho3AlSi2
1.0
11.4319 0.0000 0.0000
0.0000 4.1400 0.0000
0.0000 0.0000 11.4382
Ho Al Si
12 4 8
Direct
0.0550 0.2500 0.1187
0.1272 0.7500 0.5645
0.1993 0.2500 0.8008
0.3007 0.7500 0.3008
0.3728 0.2500 0.0645
0.4450 0.7500 0.6187
0.5550 0.2500 0.3813
0.6272 0.7500 0.9355
0.6993 0.2500 0.6992
0.8007 0.7500 0.1992
0.8728 0.2500 0.4355
0.9450 0.7500 0.8813
0.1338 0.2500 0.3688
0.3662 0.7500 0.8688
0.6338 0.2500 0.1312
0.8662 0.7500 0.6312
0.0223 0.7500 0.3165
0.1875 0.7500 0.9969
0.3125 0.2500 0.4969
0.4777 0.2500 0.8165
0.5223 0.7500 0.1835
0.6875 0.7500 0.5031
0.8125 0.2500 0.0031
0.9777 0.2500 0.6835
```

VASP energy: -128.69 eV/cell
E_form (uncorrected): -0.64 eV per atom
Magnetic moment: 0.0 μB per formula unit



[5]
Material: CeErGa2Cu2
Method: DFT, PBE-GGA
State: optimized geometry

```
CeErGa2Cu2
1.0
4.3506 0.0000 0.0000
-2.1753 3.7677 0.0000
0.0000 0.0000 7.2535
Ce Er Ga Cu
1 1 2 2
Direct
0.0000 0.0000 0.0000
0.0000 0.0000 0.5000
0.3333 0.6667 0.2579
0.6667 0.3333 0.7421
0.3333 0.6667 0.7248
0.6667 0.3333 0.2752
```

Energy of formation: -0.452 eV/atom
VASP energy: -27.45 eV/cell
Magnetic moment: 0.4 μB per formula unit



[6]
Material: Cu2Pd4Au
Method: DFT, PBE-GGA
State: optimized geometry

```
Cu2Pd4Au
1.0
-2.4626 2.4626 6.2202
2.4626 -2.4626 6.2202
2.4626 2.4626 -6.2202
Cu Pd Au
2 4 1
Direct
0.0940 0.0940 0.0000
0.9060 0.9060 0.0000
0.0000 0.5000 0.5000
0.2893 0.2893 0.0000
0.5000 0.0000 0.5000
0.7107 0.7107 0.0000
0.5000 0.5000 0.0000
```

Energy of formation: 0.889 eV/atom
VASP energy: -26.02 eV/cell
Magnetic moment: 0.0 μB per formula unit
Energy above the most stable polymorph in this dataset: 554 kJ/mol of formula units



[7]
Material: LaRuN2F
Method: DFT, PBE-GGA
State: optimized geometry

```
LaRuN2F
1.0
3.9505 0.0000 0.0000
0.0000 3.9505 0.0000
0.0000 0.0000 4.2505
La Ru N F
1 1 2 1
Direct
0.0000 0.0000 0.0000
0.5000 0.5000 0.5000
0.0000 0.5000 0.5000
0.5000 0.0000 0.5000
0.5000 0.5000 0.0000
```

VASP energy: -36.78 eV/cell
E_form (uncorrected): -0.81 eV per atom
Magnetic moment: 0.0 μB per formula unit
Energy above the most stable polymorph in this dataset: 0 kJ/mol of formula units



[8]
Material: ZnCd4Ir
Method: DFT, PBE-GGA
State: optimized geometry

```
ZnCd4Ir
1.0
0.0000 3.8955 3.8955
3.8955 0.0000 3.8955
3.8955 3.8955 0.0000
Zn Cd Ir
1 4 1
Direct
0.0000 0.0000 0.0000
0.1259 0.6247 0.6247
0.6247 0.1259 0.6247
0.6247 0.6247 0.1259
0.6247 0.6247 0.6247
0.2500 0.2500 0.2500
```

Energy of formation: 0.436 eV/atom
VASP energy: -11.18 eV/cell
Magnetic moment: 0.0 μB per formula unit



[9]
Material: Zr2BeAs
Method: DFT, PBE-GGA
State: optimized geometry

```
Zr2BeAs
1.0
3.2063 0.0000 0.0000
0.0000 3.2063 0.0000
0.0000 0.0000 7.0264
Zr Be As
2 1 1
Direct
0.0000 0.0000 0.0000
0.5000 0.5000 0.3375
0.5000 0.5000 0.7410
0.0000 0.0000 0.6050
```

Energy of formation: -0.159 eV/atom
VASP energy: -26.11 eV/cell
Magnetic moment: 0.0 μB per formula unit
Energy above the most stable polymorph in this dataset: 245 kJ/mol of formula units



[10]
Material: Ce7ThAl3
Method: DFT, PBE-GGA
State: optimized geometry

```
Ce7ThAl3
1.0
5.5240 -5.4095 0.0000
5.5240 5.4095 0.0000
-2.6465 0.0000 4.9745
Ce Th Al
7 1 3
Direct
0.0000 0.0000 0.0000
0.0816 0.5641 0.3486
0.3205 0.3205 0.8336
0.4359 0.9184 0.6514
0.5641 0.0816 0.3486
0.6795 0.6795 0.1664
0.9184 0.4359 0.6514
0.0000 0.0000 0.5000
0.2719 0.7281 0.0000
0.5000 0.5000 0.5000
0.7281 0.2719 0.0000
```

Energy of formation: 0.087 eV/atom
VASP energy: -59.23 eV/cell
Magnetic moment: 3.9 μB per formula unit



[11]
Material: TcW
Method: DFT, PBE-GGA
State: optimized geometry

```
TcW
1.0
5.1319 0.0000 0.0000
0.0000 4.5051 0.0000
0.0000 0.0000 5.4204
Tc W
4 4
Direct
0.0936 0.2500 0.1328
0.4064 0.7500 0.6328
0.5936 0.2500 0.3672
0.9064 0.7500 0.8672
0.1266 0.2500 0.6022
0.3734 0.7500 0.1022
0.6266 0.2500 0.8978
0.8734 0.7500 0.3978
```

Energy of formation: 0.205 eV/atom
VASP energy: -91.64 eV/cell
Magnetic moment: 0.0 μB per formula unit
Energy above the most stable polymorph in this dataset: 27 kJ/mol of formula units



[12]
Material: Pm2PrSiN4
Method: DFT, PBE-GGA
State: optimized geometry

```
Pm2PrSiN4
1.0
1.7358 -5.8958 0.0000
1.7358 5.8958 0.0000
0.0000 0.0000 11.9621
Pm Pr Si N
4 2 2 8
Direct
0.1324 0.8676 0.5425
0.1324 0.8676 0.9575
0.8676 0.1324 0.0425
0.8676 0.1324 0.4575
0.4103 0.5897 0.7500
0.5897 0.4103 0.2500
0.3194 0.6806 0.2500
0.6806 0.3194 0.7500
0.0979 0.9021 0.7500
0.2296 0.7704 0.1348
0.2296 0.7704 0.3652
0.5000 0.5000 0.0000
0.5000 0.5000 0.5000
0.7704 0.2296 0.6348
0.7704 0.2296 0.8652
0.9021 0.0979 0.2500
```

VASP energy: -124.68 eV/cell
E_form (uncorrected): -1.17 eV per atom
Magnetic moment: 0.0 μB per formula unit



[13]
Material: Tb2Pm12Tm5
Method: DFT, PBE-GGA
State: optimized geometry

```
Tb2Pm12Tm5
1.0
11.0830 -3.5392 0.0000
11.0830 3.5392 0.0000
-2.9529 0.0000 8.1851
Tb Pm Tm
2 12 5
Direct
0.2438 0.7562 0.0000
0.7562 0.2438 0.0000
0.0472 0.5533 0.2066
0.0480 0.0480 0.6933
0.1375 0.6490 0.6150
0.3510 0.8625 0.3850
0.3549 0.3549 0.9332
0.4467 0.9528 0.7934
0.5533 0.0472 0.2066
0.6451 0.6451 0.0668
0.6490 0.1375 0.6150
0.8625 0.3510 0.3850
0.9520 0.9520 0.3067
0.9528 0.4467 0.7934
0.1510 0.1510 0.0962
0.2507 0.2507 0.5068
0.5000 0.5000 0.5000
0.7493 0.7493 0.4932
0.8490 0.8490 0.9038
```

Energy of formation: 0.136 eV/atom
VASP energy: -86.04 eV/cell
Magnetic moment: 0.0 μB per formula unit
Energy above the most stable polymorph in this dataset: 24 kJ/mol of formula units



[14]
Material: Ba2InTe
Method: DFT, PBE-GGA
State: optimized geometry

```
Ba2InTe
1.0
0.0000 4.2809 4.2809
4.2809 0.0000 4.2809
4.2809 4.2809 0.0000
Ba In Te
2 1 1
Direct
0.2500 0.2500 0.2500
0.7500 0.7500 0.7500
0.0000 0.0000 0.0000
0.5000 0.5000 0.5000
```

VASP energy: -12.73 eV/cell
E_form (uncorrected): -0.75 eV per atom
Magnetic moment: 0.0 μB per formula unit
Energy above the most stable polymorph in this dataset: 70 kJ/mol of formula units



[15]
Material: TaPdO3
Method: DFT, PBE-GGA
State: optimized geometry

```
TaPdO3
1.0
6.7911 0.0000 0.0000
0.0000 4.9778 0.0000
-1.3789 0.0000 7.2954
Ta Pd O
4 4 12
Direct
0.1189 0.2357 0.1135
0.1189 0.2643 0.6135
0.8811 0.7357 0.3865
0.8811 0.7643 0.8865
0.4384 0.7244 0.9063
0.4384 0.7756 0.4063
0.5616 0.2244 0.5937
0.5616 0.2756 0.0937
0.0661 0.0782 0.3509
0.0661 0.4218 0.8509
0.1788 0.5928 0.5029
0.1788 0.9072 0.0029
0.3484 0.0691 0.7187
0.3484 0.4309 0.2187
0.6516 0.5691 0.7813
0.6516 0.9309 0.2813
0.8212 0.0928 0.9971
0.8212 0.4072 0.4971
0.9339 0.5782 0.1491
0.9339 0.9218 0.6491
```

VASP energy: -163.94 eV/cell
E_form (uncorrected): -1.81 eV per atom
Magnetic moment: 0.0 μB per formula unit



[16]
Material: Hf2ThN
Method: DFT, PBE-GGA
State: optimized geometry

```
Hf2ThN
1.0
3.0618 0.0000 0.0000
0.0000 3.0618 0.0000
0.0000 0.0000 8.0382
Hf Th N
2 1 1
Direct
0.0000 0.0000 0.1697
0.0000 0.0000 0.8303
0.5000 0.5000 0.5000
0.5000 0.5000 0.0000
```

VASP energy: -35.60 eV/cell
E_form (uncorrected): 0.01 eV per atom
Magnetic moment: 0.0 μB per formula unit
Energy above the most stable polymorph in this dataset: 234 kJ/mol of formula units



[17]
Material: Ho4ErSc8
Method: DFT, PBE-GGA
State: optimized geometry

```
Ho4ErSc8
1.0
5.2032 3.0041 4.2355
-5.2032 3.0041 4.2355
0.0000 -6.0082 4.2355
Ho Er Sc
4 1 8
Direct
0.0000 0.0000 0.0000
0.0000 0.5000 0.5000
0.5000 0.0000 0.5000
0.5000 0.5000 0.0000
0.5000 0.5000 0.5000
0.2400 0.2400 0.7584
0.2400 0.7584 0.2400
0.2405 0.2405 0.2405
0.2416 0.7600 0.7600
0.7584 0.2400 0.2400
0.7595 0.7595 0.7595
0.7600 0.2416 0.7600
0.7600 0.7600 0.2416
```

Energy of formation: 0.593 eV/atom
VASP energy: -65.82 eV/cell
Magnetic moment: 1.0 μB per formula unit



[18]
Material: SrCd2Pt
Method: DFT, PBE-GGA
State: optimized geometry

```
SrCd2Pt
1.0
-2.5686 2.5686 3.5911
2.5686 -2.5686 3.5911
2.5686 2.5686 -3.5911
Sr Cd Pt
1 2 1
Direct
0.0000 0.0000 0.0000
0.2500 0.7500 0.5000
0.5000 0.5000 0.0000
0.7500 0.2500 0.5000
```

Energy of formation: -0.325 eV/atom
VASP energy: -10.85 eV/cell
Magnetic moment: 0.0 μB per formula unit



[19]
Material: Pm4Te2AsS
Method: DFT, PBE-GGA
State: optimized geometry

```
Pm4Te2AsS
1.0
7.3373 0.0000 0.0000
0.0000 4.2490 0.0000
-2.4598 0.0000 7.2473
Pm Te As S
4 2 1 1
Direct
0.2328 0.0000 0.2111
0.2576 0.5000 0.7849
0.7424 0.5000 0.2151
0.7672 0.0000 0.7889
0.0000 0.0000 0.5000
0.5000 0.5000 0.5000
0.5000 0.0000 0.0000
0.0000 0.5000 0.0000
```

VASP energy: -47.18 eV/cell
E_form (uncorrected): -1.64 eV per atom
Magnetic moment: 0.0 μB per formula unit



[20]
Material: CaAc12Pb6
Method: DFT, PBE-GGA
State: optimized geometry

```
CaAc12Pb6
1.0
8.1493 4.7050 3.5506
-8.1493 4.7050 3.5506
0.0000 -9.4100 3.5506
Ca Ac Pb
1 12 6
Direct
0.0000 0.0000 0.0000
0.0096 0.3234 0.8645
0.1124 0.4448 0.3556
0.1355 0.9904 0.6766
0.3234 0.8645 0.0096
0.3556 0.1124 0.4448
0.4448 0.3556 0.1124
0.5552 0.6444 0.8876
0.6444 0.8876 0.5552
0.6766 0.1355 0.9904
0.8645 0.0096 0.3234
0.8876 0.5552 0.6444
0.9904 0.6766 0.1355
0.2023 0.3387 0.6463
0.3387 0.6463 0.2023
0.3537 0.7977 0.6613
0.6463 0.2023 0.3387
0.6613 0.3537 0.7977
0.7977 0.6613 0.3537
```

Energy of formation: -0.158 eV/atom
VASP energy: -76.56 eV/cell
Magnetic moment: 0.0 μB per formula unit